AlP2Os: optimized geometry, PBE-GGA.

Output
Energy relative to the elements in eV/atom: 0.408
Spin magnetization in μB per formula unit: 0.0
Space-group type: F-43m (216)

a b c (Å): 6.0752 6.0752 6.0752
angles (deg): 90.00 90.00 90.00
With the nearest neighbours (Å) after each atom.
Element x y z (fractional)
Al 0.0000 0.0000 0.0000  4 P 2.63, 4 Os 2.63
Al 0.0000 0.5000 0.5000  4 P 2.63, 4 Os 2.63
Al 0.5000 0.0000 0.5000  4 P 2.63, 4 Os 2.63
Al 0.5000 0.5000 0.0000  4 P 2.63, 4 Os 2.63
P 0.0000 0.0000 0.5000  4 Os 2.63, 4 P 2.63
P 0.0000 0.5000 0.0000  4 Os 2.63, 4 P 2.63
P 0.2500 0.2500 0.7500  4 Al 2.63, 4 P 2.63
P 0.2500 0.7500 0.2500  4 Al 2.63, 4 P 2.63
P 0.5000 0.0000 0.0000  4 Os 2.63, 4 P 2.63
P 0.5000 0.5000 0.5000  4 Os 2.63, 4 P 2.63
P 0.7500 0.2500 0.2500  4 Al 2.63, 4 P 2.63
P 0.7500 0.7500 0.7500  4 Al 2.63, 4 P 2.63
Os 0.2500 0.2500 0.2500  4 Al 2.63, 4 P 2.63
Os 0.2500 0.7500 0.7500  4 Al 2.63, 4 P 2.63
Os 0.7500 0.2500 0.7500  4 Al 2.63, 4 P 2.63
Os 0.7500 0.7500 0.2500  4 Al 2.63, 4 P 2.63